[1]
Compound: Ba2HoP3Pt12
Source: Alexandria
Functional: PBE-GGA
Structure: relaxed

Structure (POSCAR):
```
Ba2HoP3Pt12
1.0
4.217 2.435 6.267
-4.217 2.435 6.267
0.000 -4.870 6.267
Ba Ho P Pt
2 1 3 12
Direct
0.104 0.104 0.104
0.896 0.896 0.896
0.500 0.500 0.500
0.000 0.500 0.500
0.500 0.000 0.500
0.500 0.500 0.000
0.109 0.628 0.628
0.170 0.170 0.592
0.170 0.592 0.170
0.372 0.372 0.891
0.372 0.891 0.372
0.408 0.830 0.830
0.592 0.170 0.170
0.628 0.109 0.628
0.628 0.628 0.109
0.830 0.408 0.830
0.830 0.830 0.408
0.891 0.372 0.372
```

DOS at the Fermi energy = 5.0 states/eV/cell
Theoretical density = 12.4 g/cm3
Magnetic moment = 0.0 μB per cell
DFT formation energy = -0.39 eV per atom



[2]
Compound: Ac2TmBi2O2
Source: Alexandria
Functional: PBE-GGA
Structure: relaxed

Structure (POSCAR):
```
Ac2TmBi2O2
1.0
-2.248 2.248 8.755
2.248 -2.248 8.755
2.248 2.248 -8.755
Ac Tm Bi O
2 1 2 2
Direct
0.111 0.111 0.000
0.889 0.889 0.000
0.500 0.500 0.000
0.313 0.313 0.000
0.687 0.687 0.000
0.000 0.500 0.500
0.500 0.000 0.500
```

DOS at the Fermi energy = 3.2 states/eV/cell
Energy relative to the elements, uncorrected = -1.945 eV/atom
Theoretical density = 10.1 g/cm3
Magnetic moment = 0.0 μB per cell



[3]
Compound: BaY2Cu
Source: Alexandria
Functional: PBE-GGA
Structure: relaxed

Structure (POSCAR):
```
BaY2Cu
1.0
0.000 3.965 3.965
3.965 0.000 3.965
3.965 3.965 0.000
Ba Y Cu
1 2 1
Direct
0.000 0.000 0.000
0.250 0.250 0.250
0.500 0.500 0.500
0.750 0.750 0.750
```

DOS at the Fermi energy = 6.2 states/eV/cell
Theoretical density = 5.0 g/cm3
Magnetic moment = 0.0 μB per cell
Energy above the lowest structure with this stoichiometry = 406 meV per atom
DFT formation energy = 0.44 eV per atom



[4]
Compound: PuP2Pt8
Source: Alexandria
Functional: PBE-GGA
Structure: relaxed

Structure (POSCAR):
```
PuP2Pt8
1.0
-3.021 3.021 5.434
3.021 -3.021 5.434
3.021 3.021 -5.434
Pu P Pt
1 2 8
Direct
0.000 0.000 0.000
0.250 0.750 0.500
0.750 0.250 0.500
0.149 0.149 0.554
0.149 0.595 0.000
0.405 0.405 0.554
0.405 0.851 0.000
0.595 0.149 0.000
0.595 0.595 0.446
0.851 0.405 0.000
0.851 0.851 0.446
```

DOS at the Fermi energy = 16.7 states/eV/cell
Theoretical density = 15.6 g/cm3
Magnetic moment = 3.9 μB per cell
DFT formation energy = -0.18 eV per atom



Q: Look up the theoretical density of the third one.
A: 5.0 g/cm3



Q: Number 4 is which compound?
A: PuP2Pt8



Copy entry 4 word for word.
Compound: PuP2Pt8
Source: Alexandria
Functional: PBE-GGA
Structure: relaxed

Structure (POSCAR):
```
PuP2Pt8
1.0
-3.021 3.021 5.434
3.021 -3.021 5.434
3.021 3.021 -5.434
Pu P Pt
1 2 8
Direct
0.000 0.000 0.000
0.250 0.750 0.500
0.750 0.250 0.500
0.149 0.149 0.554
0.149 0.595 0.000
0.405 0.405 0.554
0.405 0.851 0.000
0.595 0.149 0.000
0.595 0.595 0.446
0.851 0.405 0.000
0.851 0.851 0.446
```

DOS at the Fermi energy = 16.7 states/eV/cell
Theoretical density = 15.6 g/cm3
Magnetic moment = 3.9 μB per cell
DFT formation energy = -0.18 eV per atom